Below is La6AlCl5 after structural relaxation, with properties calculated at the PBE-GGA level.

Results
crystal system	monoclinic
electronic total energy	-4.90	eV/atom
raw formation energy	-1.357	eV/atom

Cell and atoms, written as extended XYZ:
```
12
Lattice="7.100 -1.183 -0.893 -2.786 6.637 -0.893 -0.386 -0.488 7.476" Properties=species:S:1:pos:R:3 pbc="T T T"
La -0.670 2.590 1.430
La 4.597 2.375 4.261
La 2.675 -0.055 1.430
La 0.850 1.075 5.208
La 3.077 3.890 0.482
La 1.253 5.021 4.261
Cl -1.462 5.192 2.845
Cl 1.964 2.483 2.845
Cl 3.842 1.394 -0.893
Cl 0.473 4.059 -0.893
Cl 5.389 -0.227 2.845
Al 0.000 0.000 0.000
```

=====

Below is LaAlCl after structural relaxation, with properties calculated at the PBE-GGA level.

Results
crystal system	hexagonal
electronic total energy	-4.15	eV/atom
raw formation energy	-0.640	eV/atom

Cell and atoms, written as extended XYZ:
```
3
Lattice="4.966 0.000 0.000 -2.483 4.301 0.000 0.000 0.000 3.820" Properties=species:S:1:pos:R:3 pbc="T T T"
La 2.483 1.434 1.910
Al 0.000 0.000 0.000
Cl 0.000 2.867 1.910
```